(1)
Density functional theory data (GGA-PBE) for a relaxed YZnHg2 crystal.

It has space group Cm (No. 8), with a = 9.9170 Å, b = 4.2529 Å, c = 4.9715 Å, α = 90.00°, β = 119.40° and γ = 90.00°. Symmetry generates all atoms from Y at (0.0000, 0.0000, 0.0000), Zn at (0.2540, 0.5000, 0.2542), Hg at (0.2315, 0.0000, 0.7306) and Hg at (0.4732, 0.0000, 0.4717).

For the formation energy, the calculation gives -23.2 kJ/mol of atoms.


(2)
Density functional theory data (GGA-PBE) for a relaxed Y3ZnHg2 crystal.

It has space group P4/mmm (No. 123), with a = 3.6589 Å, b = 3.6589 Å, c = 11.1572 Å, α = 90.00°, β = 90.00° and γ = 90.00°. Symmetry generates all atoms from Y at (0.0000, 0.0000, 0.0000), Y at (0.0000, 0.0000, 0.3447), Zn at (0.5000, 0.5000, 0.5000) and Hg at (0.5000, 0.5000, 0.1739).

For the formation energy, the calculation gives -44.4 kJ/mol of atoms.


(3)
Density functional theory data (GGA-PBE) for a relaxed YZnHg2 crystal.

It has space group Imm2 (No. 44), with a = 4.9482 Å, b = 5.0147 Å, c = 7.0981 Å, α = 90.00°, β = 90.00° and γ = 90.00°. Symmetry generates all atoms from Y at (0.0000, 0.0000, 0.0000), Zn at (0.0000, 0.5000, 0.7522), Hg at (0.0000, 0.0000, 0.4970) and Hg at (0.0000, 0.5000, 0.2475).

For the formation energy, the calculation gives -25.3 kJ/mol of atoms.


(4)
Density functional theory data (GGA-PBE) for a relaxed Y2Zn2Hg crystal.

It has space group I4/mmm (No. 139), with a = 5.6515 Å, b = 5.6515 Å, c = 7.7872 Å, α = 90.00°, β = 90.00° and γ = 90.00°. Symmetry generates all atoms from Y at (0.0000, 0.5000, 0.2500), Zn at (0.0000, 0.0000, 0.1480) and Hg at (0.0000, 0.0000, 0.5000).

For the formation energy, the calculation gives -7.5 kJ/mol of atoms.


(5)
Density functional theory data (GGA-PBE) for a relaxed YZn3Hg crystal.

It has space group Pm-3m (No. 221), with a = 4.9227 Å, b = 4.9227 Å, c = 4.9227 Å, α = 90.00°, β = 90.00° and γ = 90.00°. Symmetry generates all atoms from Y at (0.0000, 0.0000, 0.0000), Zn at (0.0000, 0.5000, 0.5000) and Hg at (0.5000, 0.5000, 0.5000).

For the formation energy, the calculation gives 27.6 kJ/mol of atoms.


(6)
Density functional theory data (GGA-PBE) for a relaxed Y3Zn8Hg crystal.

It has space group R3m (No. 160, hexagonal axes), with a = 5.4496 Å, b = 5.4496 Å, c = 26.6214 Å, α = 90.00°, β = 90.00° and γ = 120.00°. Symmetry generates all atoms from Y at (0.0000, 0.0000, 0.0000), Y at (0.0000, 0.0000, 0.1267), Y at (0.0000, 0.0000, 0.5121), Zn at (0.0000, 0.0000, 0.3167), Zn at (0.0000, 0.0000, 0.8164), Zn at (0.0011, 0.5005, 0.5653), Zn at (0.0064, 0.5032, 0.0682) and Hg at (0.0000, 0.0000, 0.6336).

For the formation energy, the calculation gives -27.5 kJ/mol of atoms.